## NaIn5Pb8 (GGA-PBE)

Data for a relaxed NaIn5Pb8 crystal.

Cell lengths 9.513, 9.513, 9.532 Å; angles 90.00, 90.00, 90.00 degrees
Space group I-4 (No. 82)
Symmetry-distinct sites (fractional):
1 Na 0.000 0.000 0.000 [2 per cell]
2 In 0.000 0.500 0.750 [2 per cell]
3 In 0.105 0.815 0.412 [8 per cell]
4 Pb 0.063 0.661 0.087 [8 per cell]
5 Pb 0.126 0.807 0.754 [8 per cell]

Output
V ... 30.8 Å³ per atom
M_tot ... 0.000 μB/atom
ΔH_f (0 K) ... 48 meV/atom
D(E_F) ... 11.58 states/eV/cell